Entry 1:
Sr8InGa2: relaxed, PBE.

extended XYZ file:
```
11
Lattice="-1.186 0.895 5.547 7.702 -1.552 1.898 -0.586 9.344 -4.605" Properties=species:S:1:pos:R:3 pbc="T T T"
Sr 5.983 -0.583 1.374
Sr 4.002 5.294 2.974
Sr 1.928 3.392 -0.135
Sr -0.498 6.346 -1.130
Sr -0.054 9.269 1.466
Sr 2.709 1.660 3.284
Sr 3.221 7.026 -0.444
Sr 6.428 2.340 3.970
Ga 1.001 6.213 2.184
Ga 4.929 2.474 0.655
In -0.593 0.447 2.773
```

Calculated values
Total energy, eV per atom: -2.26
ΔE_f, kcal/mol of atoms: -5.50
Energy relative to the lowest polymorph listed for this composition, eV/atom: 0.0000

Entry 2:
Ac3MgC: relaxed, PBE.

extended XYZ file:
```
5
Lattice="-2.480 4.540 1.908 -2.163 -2.923 4.145 4.424 1.115 3.095" Properties=species:S:1:pos:R:3 pbc="T T T"
Ac -1.240 2.270 0.954
Ac 2.212 0.558 1.548
Ac -1.081 -1.462 2.072
C 0.000 0.000 0.000
Mg -0.109 1.366 4.574
```

Calculated values
Total energy, eV per atom: -4.55
ΔE_f, kcal/mol of atoms: 1.79

The highest total energy belongs to which entry?
Sr8InGa2